Entry from Alexandria: LiFeSn2Pt after structural relaxation (PBE).

Unit cell a=4.7214 b=4.7214 c=4.1645 alpha=90.00 beta=90.00 gamma=90.00
Fractional positions:
Li1 0.0000 0.0000 0.0000
Fe1 0.0000 0.0000 0.5000
Sn1 0.0000 0.5000 0.0000
Sn2 0.5000 0.0000 0.0000
Pt1 0.5000 0.5000 0.5000

Calculated values
ΔH_f (0 K) = 3.08 eV/f.u.
Space group = P4/mmm, No. 123
DFT total energy = -21.3 eV/cell


Entry from Alexandria: SrLi2FePt after structural relaxation (PBE).

Unit cell a=4.8215 b=4.8215 c=5.7382 alpha=90.00 beta=90.00 gamma=90.00
Fractional positions:
Sr1 0.0000 0.0000 0.0000
Li1 0.0000 0.5000 0.5000
Li2 0.5000 0.0000 0.5000
Fe1 0.5000 0.5000 0.0000
Pt1 0.0000 0.0000 0.5000

Calculated values
ΔH_f (0 K) = 1.94 eV/f.u.
Space group = P4/mmm, No. 123
DFT total energy = -18.1 eV/cell


Entry from Alexandria: LiPuFe2 after structural relaxation (PBE).

Unit cell a=3.9617 b=3.9617 c=3.6330 alpha=90.00 beta=90.00 gamma=90.00
Fractional positions:
Li1 0.0000 0.0000 0.0000
Pu1 0.5000 0.5000 0.0000
Fe1 0.0000 0.5000 0.5000
Fe2 0.5000 0.0000 0.5000

Calculated values
ΔH_f (0 K) = 0.54 eV/f.u.
Space group = P4/mmm, No. 123
DFT total energy = -32.6 eV/cell


Entry from Alexandria: LiPuFeRu after structural relaxation (PBE).

Unit cell a=6.2157 b=6.2157 c=6.2157 alpha=90.00 beta=90.00 gamma=90.00
Fractional positions:
Li1 0.0000 0.0000 0.0000
Li2 0.0000 0.5000 0.5000
Li3 0.5000 0.0000 0.5000
Li4 0.5000 0.5000 0.0000
Pu1 0.0000 0.0000 0.5000
Pu2 0.0000 0.5000 0.0000
Pu3 0.5000 0.0000 0.0000
Pu4 0.5000 0.5000 0.5000
Fe1 0.2500 0.2500 0.7500
Fe2 0.2500 0.7500 0.2500
Fe3 0.7500 0.2500 0.2500
Fe4 0.7500 0.7500 0.7500
Ru1 0.2500 0.2500 0.2500
Ru2 0.2500 0.7500 0.7500
Ru3 0.7500 0.2500 0.7500
Ru4 0.7500 0.7500 0.2500

Calculated values
ΔH_f (0 K) = 0.08 eV/f.u.
Space group = F-43m, No. 216
DFT total energy = -135.6 eV/cell


Entry from Alexandria: Li3Pu3FeS8 after structural relaxation (PBE).

Unit cell a=7.5687 b=7.5687 c=7.5050 alpha=118.13 beta=118.13 gamma=60.75
Fractional positions:
Li1 0.0000 0.0000 0.0000
Li2 0.0000 0.5000 0.5000
Li3 0.5000 0.0000 0.5000
Pu1 0.0000 0.5000 0.0000
Pu2 0.5000 0.0000 0.0000
Pu3 0.5000 0.5000 0.5000
Fe1 0.0000 0.0000 0.5000
S1 0.2210 0.7784 0.7268
S2 0.2216 0.7790 0.2732
S3 0.2413 0.2413 0.7412
S4 0.2486 0.2486 0.2551
S5 0.7514 0.7514 0.7449
S6 0.7587 0.7587 0.2588
S7 0.7784 0.2210 0.7268
S8 0.7790 0.2216 0.2732

Calculated values
ΔE_f (raw) = -1.23 eV per atom
Space group = C2/m, No. 12
DFT total energy = -108.7 eV/cell


Entry from Alexandria: Li4Pu3FeS8 after structural relaxation (PBE).

Unit cell a=7.5836 b=7.5836 c=7.5374 alpha=119.06 beta=119.06 gamma=61.23
Fractional positions:
Li1 0.0000 0.0000 0.0000
Li2 0.0000 0.5000 0.5000
Li3 0.5000 0.0000 0.5000
Li4 0.5000 0.5000 0.0000
Pu1 0.0000 0.0000 0.5000
Pu2 0.0000 0.5000 0.0000
Pu3 0.5000 0.0000 0.0000
Fe1 0.5000 0.5000 0.5000
S1 0.2539 0.2539 0.7497
S2 0.2559 0.2559 0.2571
S3 0.2606 0.7334 0.7379
S4 0.2666 0.7394 0.2621
S5 0.7334 0.2606 0.7379
S6 0.7394 0.2666 0.2621
S7 0.7441 0.7441 0.7429
S8 0.7461 0.7461 0.2503

Calculated values
ΔE_f (raw) = -1.28 eV per atom
Space group = C2/m, No. 12
DFT total energy = -112.6 eV/cell


Entry from Alexandria: LiPuScFe after structural relaxation (PBE).

Unit cell a=6.6225 b=6.6225 c=6.6225 alpha=90.00 beta=90.00 gamma=90.00
Fractional positions:
Li1 0.0000 0.0000 0.0000
Li2 0.0000 0.5000 0.5000
Li3 0.5000 0.0000 0.5000
Li4 0.5000 0.5000 0.0000
Pu1 0.2500 0.2500 0.7500
Pu2 0.2500 0.7500 0.2500
Pu3 0.7500 0.2500 0.2500
Pu4 0.7500 0.7500 0.7500
Sc1 0.2500 0.2500 0.2500
Sc2 0.2500 0.7500 0.7500
Sc3 0.7500 0.2500 0.7500
Sc4 0.7500 0.7500 0.2500
Fe1 0.0000 0.0000 0.5000
Fe2 0.0000 0.5000 0.0000
Fe3 0.5000 0.0000 0.0000
Fe4 0.5000 0.5000 0.5000

Calculated values
ΔH_f (0 K) = 0.57 eV/f.u.
Space group = F-43m, No. 216
DFT total energy = -121.9 eV/cell


Entry from Alexandria: LiSmPuFe after structural relaxation (PBE).

Unit cell a=6.9393 b=6.9393 c=6.9393 alpha=90.00 beta=90.00 gamma=90.00
Fractional positions:
Li1 0.0000 0.0000 0.0000
Li2 0.0000 0.5000 0.5000
Li3 0.5000 0.0000 0.5000
Li4 0.5000 0.5000 0.0000
Sm1 0.2500 0.2500 0.2500
Sm2 0.2500 0.7500 0.7500
Sm3 0.7500 0.2500 0.7500
Sm4 0.7500 0.7500 0.2500
Pu1 0.2500 0.2500 0.7500
Pu2 0.2500 0.7500 0.2500
Pu3 0.7500 0.2500 0.2500
Pu4 0.7500 0.7500 0.7500
Fe1 0.0000 0.0000 0.5000
Fe2 0.0000 0.5000 0.0000
Fe3 0.5000 0.0000 0.0000
Fe4 0.5000 0.5000 0.5000

Calculated values
ΔH_f (0 K) = 0.90 eV/f.u.
Space group = F-43m, No. 216
DFT total energy = -114.1 eV/cell


Entry from Alexandria: LiTbPuFe after structural relaxation (PBE).

Unit cell a=6.8706 b=6.8706 c=6.8706 alpha=90.00 beta=90.00 gamma=90.00
Fractional positions:
Li1 0.0000 0.0000 0.0000
Li2 0.0000 0.5000 0.5000
Li3 0.5000 0.0000 0.5000
Li4 0.5000 0.5000 0.0000
Tb1 0.2500 0.2500 0.7500
Tb2 0.2500 0.7500 0.2500
Tb3 0.7500 0.2500 0.2500
Tb4 0.7500 0.7500 0.7500
Pu1 0.2500 0.2500 0.2500
Pu2 0.2500 0.7500 0.7500
Pu3 0.7500 0.2500 0.7500
Pu4 0.7500 0.7500 0.2500
Fe1 0.0000 0.0000 0.5000
Fe2 0.0000 0.5000 0.0000
Fe3 0.5000 0.0000 0.0000
Fe4 0.5000 0.5000 0.5000

Calculated values
ΔH_f (0 K) = 0.77 eV/f.u.
Space group = F-43m, No. 216
DFT total energy = -114.3 eV/cell


Entry from Alexandria: LiPuFeTc after structural relaxation (PBE).

Unit cell a=6.1995 b=6.1995 c=6.1995 alpha=90.00 beta=90.00 gamma=90.00
Fractional positions:
Li1 0.0000 0.0000 0.0000
Li2 0.0000 0.5000 0.5000
Li3 0.5000 0.0000 0.5000
Li4 0.5000 0.5000 0.0000
Pu1 0.0000 0.0000 0.5000
Pu2 0.0000 0.5000 0.0000
Pu3 0.5000 0.0000 0.0000
Pu4 0.5000 0.5000 0.5000
Fe1 0.2500 0.2500 0.7500
Fe2 0.2500 0.7500 0.2500
Fe3 0.7500 0.2500 0.2500
Fe4 0.7500 0.7500 0.7500
Tc1 0.2500 0.2500 0.2500
Tc2 0.2500 0.7500 0.7500
Tc3 0.7500 0.2500 0.7500
Tc4 0.7500 0.7500 0.2500

Calculated values
ΔH_f (0 K) = 0.61 eV/f.u.
Space group = F-43m, No. 216
DFT total energy = -137.8 eV/cell


Entry from Alexandria: LiYPuFe after structural relaxation (PBE).

Unit cell a=6.8816 b=6.8816 c=6.8816 alpha=90.00 beta=90.00 gamma=90.00
Fractional positions:
Li1 0.0000 0.0000 0.0000
Li2 0.0000 0.5000 0.5000
Li3 0.5000 0.0000 0.5000
Li4 0.5000 0.5000 0.0000
Y1 0.2500 0.2500 0.2500
Y2 0.2500 0.7500 0.7500
Y3 0.7500 0.2500 0.7500
Y4 0.7500 0.7500 0.2500
Pu1 0.2500 0.2500 0.7500
Pu2 0.2500 0.7500 0.2500
Pu3 0.7500 0.2500 0.2500
Pu4 0.7500 0.7500 0.7500
Fe1 0.0000 0.0000 0.5000
Fe2 0.0000 0.5000 0.0000
Fe3 0.5000 0.0000 0.0000
Fe4 0.5000 0.5000 0.5000

Calculated values
ΔH_f (0 K) = 0.78 eV/f.u.
Space group = F-43m, No. 216
DFT total energy = -121.6 eV/cell


Entry from Alexandria: RbLiFe2 after structural relaxation (PBE).

Unit cell a=4.6694 b=4.6694 c=19.8877 alpha=90.00 beta=90.00 gamma=90.00
Fractional positions:
Rb1 0.0000 0.2500 0.3750
Rb2 0.0000 0.7500 0.6250
Rb3 0.5000 0.2500 0.1250
Rb4 0.5000 0.7500 0.8750
Li1 0.0000 0.2500 0.8750
Li2 0.0000 0.7500 0.1250
Li3 0.5000 0.2500 0.6250
Li4 0.5000 0.7500 0.3750
Fe1 0.0000 0.0000 0.0000
Fe2 0.0000 0.5000 0.0000
Fe3 0.2500 0.2500 0.7500
Fe4 0.2500 0.7500 0.2500
Fe5 0.5000 0.0000 0.5000
Fe6 0.5000 0.5000 0.5000
Fe7 0.7500 0.2500 0.7500
Fe8 0.7500 0.7500 0.2500

Calculated values
ΔH_f (0 K) = 4.42 eV/f.u.
Space group = I4_1/amd, No. 141
DFT total energy = -61.5 eV/cell
Distance to the lowest polymorph of the same formula = 0 meV per atom


Entry from Alexandria: Rb3LiFe after structural relaxation (PBE).

Unit cell a=6.8155 b=6.8155 c=6.8155 alpha=90.00 beta=90.00 gamma=90.00
Fractional positions:
Rb1 0.0000 0.0000 0.5000
Rb2 0.0000 0.5000 0.0000
Rb3 0.5000 0.0000 0.0000
Li1 0.5000 0.5000 0.5000
Fe1 0.0000 0.0000 0.0000

Calculated values
ΔH_f (0 K) = 4.14 eV/f.u.
Space group = Pm-3m, No. 221
DFT total energy = -9.1 eV/cell
Distance to the lowest polymorph of the same formula = 0 meV per atom


Entry from Alexandria: RbLi3Fe after structural relaxation (PBE).

Unit cell a=5.0742 b=5.0742 c=5.0742 alpha=90.00 beta=90.00 gamma=90.00
Fractional positions:
Rb1 0.0000 0.0000 0.0000
Li1 0.0000 0.5000 0.5000
Li2 0.5000 0.0000 0.5000
Li3 0.5000 0.5000 0.0000
Fe1 0.5000 0.5000 0.5000

Calculated values
ΔH_f (0 K) = 3.40 eV/f.u.
Space group = Pm-3m, No. 221
DFT total energy = -11.8 eV/cell


Entry from Alexandria: RbLiFe2 after structural relaxation (PBE).

Unit cell a=7.2497 b=7.2497 c=7.2497 alpha=90.00 beta=90.00 gamma=90.00
Fractional positions:
Rb1 0.0000 0.0000 0.0000
Rb2 0.0000 0.5000 0.5000
Rb3 0.5000 0.0000 0.5000
Rb4 0.5000 0.5000 0.0000
Li1 0.0000 0.0000 0.5000
Li2 0.0000 0.5000 0.0000
Li3 0.5000 0.0000 0.0000
Li4 0.5000 0.5000 0.5000
Fe1 0.2500 0.2500 0.2500
Fe2 0.2500 0.2500 0.7500
Fe3 0.2500 0.7500 0.2500
Fe4 0.2500 0.7500 0.7500
Fe5 0.7500 0.2500 0.2500
Fe6 0.7500 0.2500 0.7500
Fe7 0.7500 0.7500 0.2500
Fe8 0.7500 0.7500 0.7500

Calculated values
ΔH_f (0 K) = 5.85 eV/f.u.
Space group = Fm-3m, No. 225
DFT total energy = -55.8 eV/cell
Distance to the lowest polymorph of the same formula = 356 meV per atom


Entry from Alexandria: RbLiFeTe2 after structural relaxation (PBE).

Unit cell a=5.3430 b=5.3430 c=5.5458 alpha=90.00 beta=90.00 gamma=90.00
Fractional positions:
Rb1 0.0000 0.0000 0.0000
Li1 0.5000 0.5000 0.0000
Fe1 0.0000 0.0000 0.5000
Te1 0.0000 0.5000 0.5000
Te2 0.5000 0.0000 0.5000

Calculated values
ΔE_f (raw) = 0.07 eV per atom
Space group = P4/mmm, No. 123
DFT total energy = -17.3 eV/cell


Entry from Alexandria: LiFeRe2 after structural relaxation (PBE).

Unit cell a=2.6133 b=3.7886 c=5.1909 alpha=90.00 beta=90.00 gamma=90.00
Fractional positions:
Li1 0.0000 0.0000 0.0000
Fe1 0.0000 0.0000 0.5000
Re1 0.5000 0.5000 0.2451
Re2 0.5000 0.5000 0.7549

Calculated values
ΔH_f (0 K) = 1.28 eV/f.u.
Space group = Pmmm, No. 47
DFT total energy = -34.0 eV/cell
Distance to the lowest polymorph of the same formula = 112 meV per atom


Entry from Alexandria: Li2FeRe after structural relaxation (PBE).

Unit cell a=2.5114 b=3.9874 c=5.5098 alpha=90.00 beta=90.00 gamma=90.00
Fractional positions:
Li1 0.0000 0.0000 0.0000
Li2 0.5000 0.5000 0.2235
Fe1 0.5000 0.5000 0.7003
Re1 0.0000 0.0000 0.5218

Calculated values
ΔH_f (0 K) = 1.06 eV/f.u.
Space group = Pmm2, No. 25
DFT total energy = -23.7 eV/cell
Distance to the lowest polymorph of the same formula = 55 meV per atom


Entry from Alexandria: Li2FeRe after structural relaxation (PBE).

Unit cell a=4.5731 b=4.5731 c=2.4767 alpha=90.00 beta=90.00 gamma=90.00
Fractional positions:
Li1 0.0000 0.5000 0.0000
Li2 0.5000 0.0000 0.0000
Fe1 0.0000 0.0000 0.5000
Re1 0.5000 0.5000 0.5000

Calculated values
ΔH_f (0 K) = 2.69 eV/f.u.
Space group = P4/mmm, No. 123
DFT total energy = -22.1 eV/cell
Distance to the lowest polymorph of the same formula = 460 meV per atom


Entry from Alexandria: Li2FeRe after structural relaxation (PBE).

Unit cell a=8.4947 b=2.5024 c=5.1352 alpha=90.00 beta=93.61 gamma=90.00
Fractional positions:
Li1 0.0000 0.0000 0.0000
Li2 0.2446 0.0000 0.7875
Li3 0.5000 0.5000 0.0000
Li4 0.7446 0.5000 0.7875
Fe1 0.0011 0.5000 0.4804
Fe2 0.5011 0.0000 0.4804
Re1 0.2504 0.5000 0.3084
Re2 0.7504 0.0000 0.3084

Calculated values
ΔH_f (0 K) = 1.14 eV/f.u.
Space group = Cm, No. 8
DFT total energy = -47.2 eV/cell
Distance to the lowest polymorph of the same formula = 74 meV per atom